1.
This record from Alexandria describes a relaxed Tm2Sc3Tl crystal. The functional is PBE.

Calculated values
- calculated formation energy (eV/atom) = -0.08
- spin magnetization (Bohr magnetons per cell) = 0.58

Cell: 6.1965 6.1965 10.4564 Å, 115.17 115.17 64.19°
Last column: magnetic moment on the atom in μB.
Fractional positions:
Tm (0.7500, 0.2500, 0.5000)  0.03
Tm (0.7569, 0.2431, 0.0000)  0.06
Tm (0.2500, 0.7500, 0.5000)  0.03
Tm (0.2431, 0.7569, 0.0000)  0.06
Sc (0.8214, 0.8214, 0.1678)  0.03
Sc (0.6536, 0.6536, 0.8322)  0.03
Sc (0.1786, 0.1786, 0.8322)  0.03
Sc (0.3464, 0.3464, 0.1678)  0.03
Sc (0.1652, 0.1652, 0.3304)  0.06
Sc (0.8348, 0.8348, 0.6696)  0.06
Tl (0.6714, 0.6714, 0.3429)  0.00
Tl (0.3286, 0.3286, 0.6571)  0.00

2.
This record from Alexandria describes a relaxed Tm3ScTl4 crystal. The functional is PBE.

Calculated values
- calculated formation energy (eV/atom) = -0.18
- spin magnetization (Bohr magnetons per cell) = 0.38

Cell: 3.4530 6.8012 10.1180 Å, 109.63 99.82 90.00°
Last column: magnetic moment on the atom in μB.
Fractional positions:
Tm (0.0000, 0.5000, 0.0000)  0.00
Tm (0.2277, 0.2276, 0.4554)  0.00
Tm (0.7723, 0.7724, 0.5446)  0.00
Sc (0.5000, 0.0000, 0.0000)  0.23
Tl (0.3759, 0.6068, 0.7517)  0.00
Tl (0.6241, 0.3932, 0.2483)  0.00
Tl (0.6241, 0.8551, 0.2481)  0.00
Tl (0.3759, 0.1449, 0.7519)  0.00

3.
This record from Alexandria describes a relaxed Tm4ScTl2 crystal. The functional is PBE.

Calculated values
- calculated formation energy (eV/atom) = -0.12
- spin magnetization (Bohr magnetons per cell) = 0.00

Cell: 4.6589 6.5787 6.5787 Å, 99.07 90.00 90.00°
Fractional positions:
Tm (0.0000, 0.7900, 0.7900)
Tm (0.0000, 0.2100, 0.2100)
Tm (0.5000, 0.0000, 0.5000)
Tm (0.5000, 0.5000, 0.0000)
Sc (0.5000, 0.5000, 0.5000)
Tl (0.0000, 0.7178, 0.2822)
Tl (0.0000, 0.2822, 0.7178)

> Which of these has the lowest spin magnetization?

Tm4ScTl2

> What is the calculated formation energy in the first record?

-0.08 eV/atom

Copy entry 2 word for word.
This record from Alexandria describes a relaxed Tm3ScTl4 crystal. The functional is PBE.

Calculated values
- calculated formation energy (eV/atom) = -0.18
- spin magnetization (Bohr magnetons per cell) = 0.38

Cell: 3.4530 6.8012 10.1180 Å, 109.63 99.82 90.00°
Last column: magnetic moment on the atom in μB.
Fractional positions:
Tm (0.0000, 0.5000, 0.0000)  0.00
Tm (0.2277, 0.2276, 0.4554)  0.00
Tm (0.7723, 0.7724, 0.5446)  0.00
Sc (0.5000, 0.0000, 0.0000)  0.23
Tl (0.3759, 0.6068, 0.7517)  0.00
Tl (0.6241, 0.3932, 0.2483)  0.00
Tl (0.6241, 0.8551, 0.2481)  0.00
Tl (0.3759, 0.1449, 0.7519)  0.00

> Number 3 is which compound?

Tm4ScTl2